This record from Alexandria via LeMat-Bulk describes Ac2NdMoN5 after structural relaxation. The functional is PBE.

```
Ac2NdMoN5
1.0
7.0620 0.0000 0.0000
0.0000 7.0620 0.0000
-3.5310 -3.5310 6.0186
Ac Nd Mo N
4 2 2 10
Direct
0.1770 0.3230 0.0000
0.6770 0.1770 0.0000
0.3230 0.8230 0.0000
0.8230 0.6770 0.0000
0.2500 0.2500 0.5000
0.7500 0.7500 0.5000
0.2500 0.7500 0.5000
0.7500 0.2500 0.5000
0.0067 0.5067 0.3126
0.6941 0.1941 0.6874
0.9933 0.4933 0.6874
0.1941 0.9933 0.6874
0.4933 0.6941 0.6874
0.8059 0.0067 0.3126
0.5067 0.3059 0.3126
0.3059 0.8059 0.3126
0.5000 0.5000 0.0000
0.0000 0.0000 0.0000
```



This record from Alexandria via LeMat-Bulk describes AcNdMoN4 after structural relaxation. The functional is PBE.

```
AcNdMoN4
1.0
-1.7837 5.5948 1.3468
-4.3850 -2.2302 3.4572
4.8848 -2.0785 4.8548
Ac Nd Mo N
2 2 2 8
Direct
0.7234 0.7500 0.9356
0.2766 0.2500 0.0644
0.8101 0.7500 0.4683
0.1899 0.2500 0.5317
0.2590 0.7500 0.3153
0.7410 0.2500 0.6847
0.9526 0.4919 0.7405
0.0474 0.9919 0.2595
0.0474 0.5081 0.2595
0.9526 0.0081 0.7405
0.4580 0.7500 0.1610
0.5420 0.2500 0.8390
0.4449 0.7500 0.5740
0.5551 0.2500 0.4260
```



This record from Alexandria via LeMat-Bulk describes AcNd2MoN4 after structural relaxation. The functional is PBE.

```
AcNd2MoN4
1.0
-1.1799 3.2142 1.0315
-3.4727 -4.3288 3.3179
8.4141 0.1851 9.0481
Ac Nd Mo N
2 4 2 8
Direct
0.0839 0.1679 0.7500
0.9161 0.8321 0.2500
0.3697 0.7393 0.5408
0.6303 0.2607 0.0408
0.6303 0.2607 0.4592
0.3697 0.7393 0.9592
0.8254 0.6507 0.7500
0.1746 0.3493 0.2500
0.2652 0.5304 0.1262
0.7348 0.4696 0.6262
0.7348 0.4696 0.8738
0.2652 0.5304 0.3738
0.0000 0.0000 0.5000
0.0000 0.0000 0.0000
0.4222 0.8445 0.7500
0.5778 0.1555 0.2500
```



This record from Alexandria via LeMat-Bulk describes Ac2NpMoN5 after structural relaxation. The functional is PBE.

```
Ac2NpMoN5
1.0
3.6185 0.0000 0.0000
-1.8092 7.1134 0.0000
0.0000 0.0000 11.0531
Ac Np Mo N
4 2 2 10
Direct
0.8554 0.7108 0.8095
0.1070 0.2140 0.6800
0.1446 0.2892 0.3095
0.8930 0.7860 0.1800
0.7948 0.5896 0.5139
0.2052 0.4104 0.0139
0.5284 0.0568 0.9566
0.4716 0.9432 0.4566
0.3617 0.7235 0.0018
0.6777 0.3554 0.8941
0.4910 0.9819 0.7955
0.2843 0.5686 0.6416
0.9587 0.9173 0.5310
0.6383 0.2765 0.5018
0.3223 0.6446 0.3941
0.5090 0.0181 0.2955
0.7157 0.4314 0.1416
0.0413 0.0827 0.0310
```



This record from Alexandria via LeMat-Bulk describes Ac2MoP2N6 after structural relaxation. The functional is PBE.

```
Ac2MoP2N6
1.0
5.6462 0.0000 0.0000
2.8231 4.8898 0.0000
2.8231 1.6299 5.3977
Ac Mo P N
2 1 2 6
Direct
0.7672 0.7672 0.6983
0.2328 0.2328 0.3017
0.0000 0.0000 0.0000
0.4347 0.4347 0.6958
0.5653 0.5653 0.3042
0.7503 0.7503 0.2358
0.2636 0.7503 0.2358
0.7503 0.2636 0.2358
0.2497 0.7364 0.7642
0.7364 0.2497 0.7642
0.2497 0.2497 0.7642
```



This record from Alexandria via LeMat-Bulk describes AcPaMoN4 after structural relaxation. The functional is PBE.

```
AcPaMoN4
1.0
-1.1566 -0.5551 5.9766
4.1111 -3.8946 0.4338
4.9054 5.0810 -0.8718
Ac Pa Mo N
2 2 2 8
Direct
0.7126 0.7500 0.9350
0.2874 0.2500 0.0650
0.7999 0.7500 0.4571
0.2001 0.2500 0.5429
0.2544 0.7500 0.3223
0.7456 0.2500 0.6777
0.9836 0.4924 0.7029
0.0164 0.9924 0.2971
0.0164 0.5076 0.2971
0.9836 0.0076 0.7029
0.4505 0.7500 0.1585
0.5495 0.2500 0.8415
0.4723 0.7500 0.5740
0.5277 0.2500 0.4260
```



This record from Alexandria via LeMat-Bulk describes Ac2PaMo2N6 after structural relaxation. The functional is PBE.

```
Ac2PaMo2N6
1.0
5.9675 0.0000 0.0000
2.9838 5.1680 0.0000
2.9838 1.7227 6.0623
Ac Pa Mo N
2 1 2 6
Direct
0.7903 0.7903 0.6291
0.2097 0.2097 0.3709
0.0000 0.0000 0.0000
0.4016 0.4016 0.7952
0.5984 0.5984 0.2048
0.7508 0.7508 0.2728
0.2256 0.7508 0.2728
0.7508 0.2256 0.2728
0.2492 0.7744 0.7272
0.7744 0.2492 0.7272
0.2492 0.2492 0.7272
```



This record from Alexandria via LeMat-Bulk describes Ac2PaMoN5 after structural relaxation. The functional is PBE.

```
Ac2PaMoN5
1.0
-3.1474 -0.8377 -2.3160
0.7777 -3.9040 0.3551
-5.2235 -0.3823 7.2368
Ac Pa Mo N
2 1 1 5
Direct
0.5000 0.5000 0.2921
0.5000 0.5000 0.7079
0.0000 0.0000 0.0000
0.0000 0.0000 0.5000
0.0000 0.5000 0.5000
0.5000 0.0000 0.5000
0.0000 0.0000 0.7664
0.0000 0.0000 0.2336
0.5000 0.5000 0.0000
```



This record from Alexandria via LeMat-Bulk describes Ac2Mo2PbN6 after structural relaxation. The functional is PBE.

```
Ac2Mo2PbN6
1.0
-5.2346 -3.0701 3.5823
1.9173 -4.5698 3.6333
-1.5160 5.6681 2.5539
Ac Mo Pb N
2 2 1 6
Direct
0.7610 0.5642 0.8183
0.2390 0.4358 0.1817
0.2015 0.7874 0.8619
0.7985 0.2126 0.1381
0.5000 0.0000 0.5000
0.3672 0.8810 0.0827
0.8435 0.5152 0.2006
0.2640 0.7942 0.5902
0.1565 0.4848 0.7994
0.7360 0.2058 0.4098
0.6328 0.1190 0.9173
```



This record from Alexandria via LeMat-Bulk describes AcPm2MoN4 after structural relaxation. The functional is PBE.

```
AcPm2MoN4
1.0
-2.6467 1.7786 -1.5853
-2.4377 -2.2920 5.4981
3.4213 10.2532 5.7911
Ac Pm Mo N
2 4 2 8
Direct
0.0841 0.1682 0.7500
0.9159 0.8318 0.2500
0.3699 0.7398 0.5409
0.6301 0.2602 0.0409
0.6301 0.2602 0.4591
0.3699 0.7398 0.9591
0.8256 0.6513 0.7500
0.1744 0.3487 0.2500
0.2642 0.5284 0.1241
0.7358 0.4716 0.6241
0.7358 0.4716 0.8759
0.2642 0.5284 0.3759
0.0000 0.0000 0.5000
0.0000 0.0000 0.0000
0.4225 0.8451 0.7500
0.5775 0.1549 0.2500
```



This record from Alexandria via LeMat-Bulk describes Ac2PmMoN5 after structural relaxation. The functional is PBE.

```
Ac2PmMoN5
1.0
7.0428 0.0000 0.0000
0.0000 7.0428 0.0000
-3.5214 -3.5214 6.0217
Ac Pm Mo N
4 2 2 10
Direct
0.1767 0.3233 0.0000
0.6767 0.1767 0.0000
0.3233 0.8233 0.0000
0.8233 0.6767 0.0000
0.2500 0.2500 0.5000
0.7500 0.7500 0.5000
0.2500 0.7500 0.5000
0.7500 0.2500 0.5000
0.0064 0.5064 0.3131
0.6933 0.1933 0.6869
0.9936 0.4936 0.6869
0.1933 0.9936 0.6869
0.4936 0.6933 0.6869
0.8067 0.0064 0.3131
0.5064 0.3067 0.3131
0.3067 0.8067 0.3131
0.5000 0.5000 0.0000
0.0000 0.0000 0.0000
```



This record from Alexandria via LeMat-Bulk describes AcPmMoN4 after structural relaxation. The functional is PBE.

```
AcPmMoN4
1.0
6.0034 0.0000 0.0379
0.0000 6.0047 0.0000
-2.3086 0.0000 6.7857
Ac Pm Mo N
2 2 2 8
Direct
0.7244 0.7500 0.9358
0.2756 0.2500 0.0642
0.8106 0.7500 0.4681
0.1894 0.2500 0.5319
0.2603 0.7500 0.3176
0.7397 0.2500 0.6824
0.9526 0.4920 0.7369
0.0474 0.9920 0.2631
0.0474 0.5080 0.2631
0.9526 0.0080 0.7369
0.4590 0.7500 0.1616
0.5410 0.2500 0.8384
0.4488 0.7500 0.5755
0.5512 0.2500 0.4245
```



This record from Alexandria via LeMat-Bulk describes Ac2PrMoN4 after structural relaxation. The functional is PBE.

```
Ac2PrMoN4
1.0
-1.8857 2.1998 -2.2274
-3.9104 -5.1336 1.2388
-4.8561 6.1590 10.1942
Ac Pr Mo N
4 2 2 8
Direct
0.3671 0.7342 0.5389
0.6329 0.2658 0.0389
0.6329 0.2658 0.4611
0.3671 0.7342 0.9611
0.1205 0.2410 0.7500
0.8795 0.7590 0.2500
0.8406 0.6812 0.7500
0.1594 0.3188 0.2500
0.2744 0.5489 0.1438
0.7256 0.4511 0.6438
0.7256 0.4511 0.8562
0.2744 0.5489 0.3562
0.0000 0.0000 0.5000
0.0000 0.0000 0.0000
0.4101 0.8203 0.7500
0.5899 0.1797 0.2500
```



This record from Alexandria via LeMat-Bulk describes AcPuMoN4 after structural relaxation. The functional is PBE.

```
AcPuMoN4
1.0
-3.7250 -1.8363 -3.7298
1.4493 -5.3412 1.1823
-2.7019 0.7113 6.5253
Ac Pu Mo N
2 2 2 8
Direct
0.6089 0.7500 0.2178
0.3911 0.2500 0.7822
0.1011 0.2500 0.2022
0.8989 0.7500 0.7978
0.2676 0.7500 0.5352
0.7324 0.2500 0.4648
0.9386 0.2500 0.8771
0.4121 0.7500 0.8241
0.0614 0.7500 0.1229
0.5879 0.2500 0.1759
0.5000 0.5000 0.5000
0.0000 0.0000 0.5000
0.5000 0.0000 0.5000
0.0000 0.5000 0.5000
```



This record from Alexandria via LeMat-Bulk describes Rb2AcMoN4 after structural relaxation. The functional is PBE.

```
Rb2AcMoN4
1.0
6.2348 0.0000 0.0000
0.0000 8.0928 0.0000
0.0000 0.0000 7.3810
Rb Ac Mo N
4 2 2 8
Direct
0.4748 0.3588 0.2607
0.4748 0.3588 0.7393
0.9748 0.6412 0.7607
0.9748 0.6412 0.2393
0.9930 0.1046 0.5000
0.4930 0.8954 0.0000
0.5039 0.8365 0.5000
0.0039 0.1635 0.0000
0.3033 0.1538 0.0000
0.8033 0.8462 0.5000
0.3952 0.0539 0.5000
0.8952 0.9461 0.0000
0.4274 0.7275 0.7174
0.9274 0.2725 0.2174
0.9274 0.2725 0.7826
0.4274 0.7275 0.2826
```



This record from Alexandria via LeMat-Bulk describes Rb2AcMo2N6 after structural relaxation. The functional is PBE.

```
Rb2AcMo2N6
1.0
-4.0482 -5.1478 0.6252
6.5060 -0.8116 0.8320
-3.9537 3.7815 5.5359
Rb Ac Mo N
2 1 2 6
Direct
0.7054 0.4109 0.1730
0.2946 0.5891 0.8270
0.5000 0.0000 0.5000
0.9561 0.9122 0.7898
0.0439 0.0878 0.2102
0.7657 0.5314 0.6268
0.1971 0.9318 0.2341
0.2653 0.0682 0.7659
0.8029 0.0682 0.7659
0.7347 0.9318 0.2341
0.2343 0.4686 0.3732
```



This record from Alexandria via LeMat-Bulk describes AcScMo2N6 after structural relaxation. The functional is PBE.

```
AcScMo2N6
1.0
6.5784 0.1796 0.1864
2.3055 7.2227 0.3211
2.3055 0.0532 7.2296
Ac Sc Mo N
2 2 4 12
Direct
0.2500 0.8961 0.1039
0.7500 0.1039 0.8961
0.2500 0.2791 0.7209
0.7500 0.7209 0.2791
0.3337 0.7848 0.6234
0.1663 0.3766 0.2152
0.6663 0.2152 0.3766
0.8337 0.6234 0.7848
0.1900 0.9997 0.7624
0.3100 0.2376 0.0003
0.8100 0.0003 0.2376
0.6900 0.7624 0.9997
0.3833 0.8464 0.3804
0.1167 0.6196 0.1536
0.6167 0.1536 0.6196
0.8833 0.3804 0.8464
0.1404 0.6197 0.6862
0.3596 0.3138 0.3803
0.8596 0.3803 0.3138
0.6404 0.6862 0.6197
```



This record from Alexandria via LeMat-Bulk describes AcSm2MoN4 after structural relaxation. The functional is PBE.

```
AcSm2MoN4
1.0
3.5501 0.0000 0.0000
-1.7751 6.1637 0.0000
0.0000 0.0000 12.2036
Ac Sm Mo N
2 4 2 8
Direct
0.0842 0.1685 0.7500
0.9158 0.8315 0.2500
0.3700 0.7400 0.5409
0.6300 0.2600 0.0409
0.6300 0.2600 0.4591
0.3700 0.7400 0.9591
0.8257 0.6515 0.7500
0.1743 0.3485 0.2500
0.2636 0.5272 0.1226
0.7364 0.4728 0.6226
0.7364 0.4728 0.8774
0.2636 0.5272 0.3774
0.0000 0.0000 0.5000
0.0000 0.0000 0.0000
0.4227 0.8454 0.7500
0.5773 0.1546 0.2500
```



Total magnetization (μB per formula unit)
0.00; 0.00; 0.00; 2.02; 1.98; 0.00; 0.00; 0.00; 0.00; 0.00; 0.00; 0.00; 0.00; 4.67; 1.04; 3.06; 0.00; 0.00
Formation energy from raw total energies (eV/atom)
-1.00; -1.02; -0.98; -1.00; -0.82; -0.95; -0.90; -1.13; -0.52; -1.01; -0.99; -1.03; -0.76; -0.85; -0.40; -0.08; -0.79; -1.03